1.
! TaAgOsRu2 | the Alexandria database | PBE-GGA | relaxed; values from VASP
! Space group: P4/mmm (123)
&SYSTEM
  ibrav = 0, nat = 5, ntyp = 4
/
ATOMIC_SPECIES
Ru 101.07 Ru.upf
Os 190.23 Os.upf
Ag 107.87 Ag.upf
Ta 180.95 Ta.upf
ATOMIC_POSITIONS crystal
Ru 0.500 0.000 0.000
Ru 0.000 0.000 0.500
Os 0.000 0.500 0.000
Ag 0.000 0.000 0.000
Ta 0.500 0.500 0.500
CELL_PARAMETERS angstrom
4.630 0.000 0.000
0.000 4.693 0.000
0.000 0.000 4.630

2.
! Zr6SnPb | the Alexandria database | PBE-GGA | relaxed; values from VASP
! Space group: Amm2 (38)
&SYSTEM
  ibrav = 0, nat = 8, ntyp = 3
/
ATOMIC_SPECIES
Zr 91.22 Zr.upf
Pb 207.20 Pb.upf
Sn 118.71 Sn.upf
ATOMIC_POSITIONS crystal
Zr 0.000 0.093 0.414
Zr 0.500 0.404 0.084
Pb 0.500 0.416 0.584
Zr 0.000 0.586 0.907
Zr 0.500 0.916 0.596
Zr 0.500 0.906 0.094
Sn 0.000 0.084 0.916
Zr 0.000 0.595 0.405
CELL_PARAMETERS angstrom
5.207 0.000 0.000
0.000 5.593 -2.878
0.000 -0.104 6.289

| no. | energy (eV per formula unit) | energy relative to the elements (eV per atom) |
| --- | --- | --- |
| 1 | -32.01 | 2.494 |
| 2 | -61.07 | -0.259 |